[1]
A geometry-optimized PaNbAlMo structure. Source: Alexandria, functional PBE.

Space group: F-43m (216)
Spin magnetization in μB per formula unit: 0.000
E_tot in eV per atom: -8.64

a b c (Å): 4.6907 4.6907 4.6907
angles (deg): 60.00 60.00 60.00
Positions (direct):
Mo 0.0000 0.0000 0.0000
Pa 0.2500 0.2500 0.2500
Nb 0.5000 0.5000 0.5000
Al 0.7500 0.7500 0.7500

---

[2]
A geometry-optimized NbAlMoPt structure. Source: Alexandria, functional PBE.

Space group: F-43m (216)
Spin magnetization in μB per formula unit: 0.000
E_tot in eV per atom: -8.07

a b c (Å): 4.4841 4.4841 4.4841
angles (deg): 60.00 60.00 60.00
Positions (direct):
Mo 0.0000 0.0000 0.0000
Nb 0.7500 0.7500 0.7500
Pt 0.5000 0.5000 0.5000
Al 0.2500 0.2500 0.2500

---

[3]
A geometry-optimized NbAlReMo structure. Source: Alexandria, functional PBE.

Space group: F-43m (216)
Spin magnetization in μB per formula unit: 0.002
E_tot in eV per atom: -9.37

a b c (Å): 4.4712 4.4712 4.4712
angles (deg): 60.00 60.00 60.00
Positions (direct):
Re 0.2500 0.2500 0.2500
Mo 0.7500 0.7500 0.7500
Nb 0.0000 0.0000 0.0000
Al 0.5000 0.5000 0.5000

---

[4]
A geometry-optimized NbAl2MoRh structure. Source: Alexandria, functional PBE.

Space group: P4/mmm (123)
Spin magnetization in μB per formula unit: 1.979
E_tot in eV per atom: -6.49

a b c (Å): 4.4972 4.9110 4.4972
angles (deg): 90.00 90.00 90.00
Each line ends with the local moment (μB).
Positions (direct):
Mo 0.5000 0.5000 0.5000  2.03
Rh 0.0000 0.0000 0.0000  0.10
Nb 0.0000 0.5000 0.0000  -0.40
Al 0.0000 0.0000 0.5000  -0.02
Al 0.5000 0.0000 0.0000  0.00

---

[5]
A geometry-optimized NbAlMoRu structure. Source: Alexandria, functional PBE.

Space group: F-43m (216)
Spin magnetization in μB per formula unit: 0.000
E_tot in eV per atom: -8.74

a b c (Å): 4.4476 4.4476 4.4476
angles (deg): 60.00 60.00 60.00
Positions (direct):
Ru 0.7500 0.7500 0.7500
Mo 0.2500 0.2500 0.2500
Nb 0.0000 0.0000 0.0000
Al 0.5000 0.5000 0.5000

---

[6]
A geometry-optimized Nb3AlSnMo3 structure. Source: Alexandria, functional PBE.

Space group: R3 (146)
Spin magnetization in μB per formula unit: 0.000
E_tot in eV per atom: -8.99

a b c (Å): 5.1581 5.1581 5.1581
angles (deg): 90.05 90.05 90.05
Positions (direct):
Nb 0.2564 0.9990 0.5006
Nb 0.9990 0.5006 0.2564
Nb 0.5006 0.2564 0.9990
Al 0.5022 0.5022 0.5022
Sn 0.9978 0.9978 0.9978
Mo 0.7445 0.9999 0.4996
Mo 0.9999 0.4996 0.7445
Mo 0.4996 0.7445 0.9999